--- a ---
## RbTcOF2 (GGA-PBE)

Data for an optimized crystal structure of RbTcOF2.

Computed properties:
Volume (Å³ per atom): 14.8
Magnetic moment (μB per formula unit): 0.0

Cell: 4.3924 4.3924 3.8275 Å, 90.00 90.00 90.00°
With the nearest neighbours (Å) after each atom.
Space group P4/mmm (No. 123)
One atom of each set of equivalent atoms:
Rb (0.0000, 0.0000, 0.0000) [1 per cell]  8 F 2.91, 4 O 3.11
Tc (0.5000, 0.5000, 0.5000) [1 per cell]  2 O 1.91
O (0.5000, 0.5000, 0.0000) [1 per cell]  2 Tc 1.91
F (0.0000, 0.5000, 0.5000) [2 per cell]  2 Tc 2.20

---

--- b ---
## RbTcOF2 (GGA-PBE)

Data for an optimized crystal structure of RbTcOF2.

Computed properties:
Volume (Å³ per atom): 20.5
Magnetic moment (μB per formula unit): 5.0

Cell: 4.8211 4.8211 4.4141 Å, 90.00 90.00 90.00°
With the nearest neighbours (Å) after each atom.
Space group P4/mmm (No. 123)
One atom of each set of equivalent atoms:
Rb (0.0000, 0.0000, 0.0000) [1 per cell]  2 O 2.21, 4 F 2.41
Tc (0.5000, 0.5000, 0.5000) [1 per cell]  8 F 3.27, 4 O 3.41
O (0.0000, 0.0000, 0.5000) [1 per cell]  2 Rb 2.21
F (0.0000, 0.5000, 0.0000) [2 per cell]  2 Rb 2.41

---

Q: Which of them is the most stable? A: a.

---

--- a ---
## RbTiOF2 (GGA-PBE)

Data for an optimized crystal structure of RbTiOF2.

Computed properties:
Volume (Å³ per atom): 20.3
Magnetic moment (μB per formula unit): 2.0

Cell: 4.8095 4.8095 4.3965 Å, 90.00 90.00 90.00°
With the nearest neighbours (Å) after each atom.
Space group P4/mmm (No. 123)
One atom of each set of equivalent atoms:
Rb (0.0000, 0.0000, 0.0000) [1 per cell]  2 O 2.20, 4 F 2.40
Ti (0.5000, 0.5000, 0.5000) [1 per cell]  8 F 3.26, 4 O 3.40
O (0.0000, 0.0000, 0.5000) [1 per cell]  2 Rb 2.20
F (0.0000, 0.5000, 0.0000) [2 per cell]  2 Rb 2.40

---

--- b ---
## RbTiOF2 (GGA-PBE)

Data for an optimized crystal structure of RbTiOF2.

Computed properties:
Volume (Å³ per atom): 14.4
Magnetic moment (μB per formula unit): 1.0

Cell: 4.3112 4.3112 3.8659 Å, 90.00 90.00 90.00°
With the nearest neighbours (Å) after each atom.
Space group P4/mmm (No. 123)
One atom of each set of equivalent atoms:
Rb (0.0000, 0.0000, 0.0000) [1 per cell]  8 F 2.90, 4 O 3.05
Ti (0.5000, 0.5000, 0.5000) [1 per cell]  2 O 1.93, 4 F 2.16
O (0.5000, 0.5000, 0.0000) [1 per cell]  2 Ti 1.93
F (0.0000, 0.5000, 0.5000) [2 per cell]  2 Ti 2.16

---

Q: Which of them is the most stable? A: b.